(1)
LaNdS2 | GGA-PBE | optimized geometry

E above lowest polymorph, eV/f.u.: 0.689
Crystal system: trigonal
Calculated volume, Å³/cell: 101
Energy relative to the elements, uncorrected, eV per atom: -1.931
Total magnetic moment, μB/cell: 0.00

abc: 3.9923 3.9923 7.3283
angles: 90.00 90.00 120.00
Space group P-3m1 (No. 164)
Symmetry-distinct sites (fractional):
La (0.0000, 0.0000, 0.0000) (multiplicity 1)
Nd (0.0000, 0.0000, 0.5000) (multiplicity 1)
S (0.3333, 0.6667, 0.7435) (multiplicity 2)



(2)
LaNd4S5 | GGA-PBE | optimized geometry

Crystal system: orthorhombic
Calculated volume, Å³/cell: 483
Energy relative to the elements, uncorrected, eV per atom: -2.051
Total magnetic moment, μB/cell: 0.00

abc: 4.0855 5.7781 20.4510
angles: 90.00 90.00 90.00
Space group Immm (No. 71)
Symmetry-distinct sites (fractional):
La (0.0000, 0.0000, 0.0000) (multiplicity 2)
Nd (0.0000, 0.0000, 0.2006) (multiplicity 4)
Nd (0.0000, 0.0000, 0.3996) (multiplicity 4)
S (0.0000, 0.5000, 0.0000) (multiplicity 2)
S (0.0000, 0.5000, 0.1999) (multiplicity 4)
S (0.0000, 0.5000, 0.3981) (multiplicity 4)



(3)
LaNdS2 | GGA-PBE | optimized geometry

E above lowest polymorph, eV/f.u.: 0.122
Crystal system: hexagonal
Calculated volume, Å³/cell: 197
Energy relative to the elements, uncorrected, eV per atom: -2.073
Total magnetic moment, μB/cell: 0.00

abc: 4.0739 4.0739 13.7287
angles: 90.00 90.00 120.00
Space group P6_3/mmc (No. 194)
Symmetry-distinct sites (fractional):
La (0.3333, 0.6667, 0.2500) (multiplicity 2)
Nd (0.0000, 0.0000, 0.0000) (multiplicity 2)
S (0.3333, 0.6667, 0.6210) (multiplicity 4)